[1]
Ce2Be4Ge3Pt, relaxed, DFT GGA-PBE; energy = -5.19 eV/atom; SG = P-4m2
1.0
4.0469 0.0000 0.0000
0.0000 4.0469 0.0000
0.0000 0.0000 9.6383
Ce Be Ge Pt
2 4 3 1
Cartesian
0.0000 2.0235 2.3798
2.0235 0.0000 7.2585
0.0000 0.0000 0.0000
0.0000 2.0235 6.0430
2.0235 0.0000 3.5953
2.0235 2.0235 0.0000
0.0000 2.0235 8.3789
2.0235 0.0000 1.2594
2.0235 2.0235 4.8192
0.0000 0.0000 4.8192


[2]
CeBeGePt3, relaxed, DFT GGA-PBE; energy = -6.14 eV/atom; SG = Cmcm
1.0
3.2261 -5.9686 0.0000
3.2261 5.9686 0.0000
0.0000 0.0000 5.5860
Ce Be Ge Pt
2 2 2 6
Cartesian
3.2261 3.2579 4.1895
3.2261 -3.2579 1.3965
3.2261 0.2394 4.1895
3.2261 -0.2394 1.3965
3.2261 4.4539 1.3965
3.2261 -4.4539 4.1895
1.4627 0.0000 0.0000
1.4627 0.0000 2.7930
3.2261 2.0441 1.3965
3.2261 -2.0441 4.1895
4.9895 0.0000 0.0000
4.9895 0.0000 2.7930


[3]
Ce2Pu2BeGe4, relaxed, DFT GGA-PBE; energy = -7.30 eV/atom; SG = I4/mmm
1.0
-3.3981 3.3981 4.2136
3.3981 -3.3981 4.2136
3.3981 3.3981 -4.2136
Ce Pu Be Ge
2 2 1 4
Cartesian
3.3981 0.0000 2.1068
0.0000 3.3981 2.1068
0.0000 0.0000 1.5418
0.0000 0.0000 6.8854
0.0000 0.0000 4.2136
1.8214 1.8214 0.0000
1.5767 -1.5767 4.2136
-1.5767 1.5767 4.2136
1.5767 1.5767 4.2136


[4]
CePu2Be2Ge2, relaxed, DFT GGA-PBE; energy = -7.64 eV/atom; SG = R-3m
1.0
1.9218 1.1096 9.2736
-1.9218 1.1096 9.2736
0.0000 -2.2191 9.2736
Ce Pu Be Ge
1 2 2 2
Cartesian
0.0000 0.0000 0.0000
0.0000 0.0000 4.1501
0.0000 0.0000 23.6708
0.0000 0.0000 11.3914
0.0000 0.0000 16.4295
0.0000 0.0000 7.1908
0.0000 0.0000 20.6301


[5]
Ce2Be4Ge3Rh, relaxed, DFT GGA-PBE; energy = -5.27 eV/atom; SG = P-4m2
1.0
4.0130 0.0000 0.0000
0.0000 4.0130 0.0000
0.0000 0.0000 9.6623
Ce Be Ge Rh
2 4 3 1
Cartesian
0.0000 2.0065 2.4120
2.0065 0.0000 7.2503
0.0000 0.0000 0.0000
0.0000 2.0065 6.0423
2.0065 0.0000 3.6200
2.0065 2.0065 0.0000
0.0000 2.0065 8.3924
2.0065 0.0000 1.2699
2.0065 2.0065 4.8312
0.0000 0.0000 4.8312


[6]
Ce2BeGe4Rh3, relaxed, DFT GGA-PBE; energy = -6.33 eV/atom; SG = P-4m2
1.0
4.2157 0.0000 0.0000
0.0000 4.2157 0.0000
0.0000 0.0000 10.0819
Ce Be Ge Rh
2 1 4 3
Cartesian
0.0000 2.1079 2.4993
2.1079 0.0000 7.5826
2.1079 2.1079 0.0000
0.0000 0.0000 5.0409
0.0000 2.1079 8.7859
2.1079 0.0000 1.2960
2.1079 2.1079 5.0409
0.0000 0.0000 0.0000
0.0000 2.1079 6.3461
2.1079 0.0000 3.7358


[7]
CeBe2GeRh2, relaxed, DFT GGA-PBE; energy = -5.53 eV/atom; SG = P4/mmm
1.0
4.1333 0.0000 0.0000
0.0000 4.1333 0.0000
0.0000 0.0000 5.6104
Ce Be Ge Rh
1 2 1 2
Cartesian
0.0000 0.0000 0.0000
0.0000 2.0667 2.8052
2.0667 0.0000 2.8052
0.0000 0.0000 2.8052
2.0667 2.0667 1.4234
2.0667 2.0667 4.1870


[8]
Ce2Be3Ge4Rh, relaxed, DFT GGA-PBE; energy = -5.37 eV/atom; SG = P-4m2
1.0
4.1366 0.0000 0.0000
0.0000 4.1366 0.0000
0.0000 0.0000 9.6685
Ce Be Ge Rh
2 3 4 1
Cartesian
0.0000 2.0683 2.3998
2.0683 0.0000 7.2687
0.0000 2.0683 8.4619
2.0683 0.0000 1.2065
2.0683 2.0683 4.8342
0.0000 0.0000 0.0000
0.0000 2.0683 6.1858
2.0683 0.0000 3.4826
2.0683 2.0683 0.0000
0.0000 0.0000 4.8342


[9]
Ce2Be3Ge4Ru, relaxed, DFT GGA-PBE; energy = -5.48 eV/atom; SG = P-4m2
1.0
4.1226 0.0000 0.0000
0.0000 4.1226 0.0000
0.0000 0.0000 9.7432
Ce Be Ge Ru
2 3 4 1
Cartesian
0.0000 2.0613 2.4108
2.0613 0.0000 7.3324
0.0000 2.0613 8.5291
2.0613 0.0000 1.2141
2.0613 2.0613 4.8716
0.0000 0.0000 0.0000
0.0000 2.0613 6.2273
2.0613 0.0000 3.5159
2.0613 2.0613 0.0000
0.0000 0.0000 4.8716


[10]
CeBe2Ge2Ru, relaxed, DFT GGA-PBE; energy = -5.73 eV/atom; SG = P-3m1
1.0
3.9701 0.0000 0.0000
-1.9851 3.4382 0.0000
0.0000 0.0000 6.7542
Ce Be Ge Ru
1 2 2 1
Cartesian
0.0000 0.0000 0.0000
0.0000 2.2922 2.3442
1.9851 1.1461 4.4099
0.0000 2.2922 4.8428
1.9851 1.1461 1.9114
0.0000 0.0000 3.3771


[11]
Ce2Be4Ge3Ru, relaxed, DFT GGA-PBE; energy = -5.38 eV/atom; SG = P-4m2
1.0
3.9945 0.0000 0.0000
0.0000 3.9945 0.0000
0.0000 0.0000 9.7238
Ce Be Ge Ru
2 4 3 1
Cartesian
0.0000 1.9973 2.4081
1.9973 0.0000 7.3157
0.0000 0.0000 4.8619
0.0000 1.9973 8.5051
1.9973 0.0000 1.2186
1.9973 1.9973 4.8619
0.0000 0.0000 0.0000
0.0000 1.9973 6.1385
1.9973 0.0000 3.5853
1.9973 1.9973 0.0000


[12]
Ce2Be4SiGe3, relaxed, DFT GGA-PBE; SG = P-4m2; E_form (uncorrected) = -0.357 eV per atom
1.0
4.0983 0.0000 0.0000
0.0000 4.0983 0.0000
0.0000 0.0000 9.3686
Ce Be Si Ge
2 4 1 3
Cartesian
0.0000 2.0491 2.3321
2.0491 0.0000 7.0365
0.0000 0.0000 4.6843
0.0000 2.0491 8.2192
2.0491 0.0000 1.1494
2.0491 2.0491 4.6843
2.0491 2.0491 0.0000
0.0000 0.0000 0.0000
0.0000 2.0491 5.9049
2.0491 0.0000 3.4638


Please write out number 10 again, unchanged.
CeBe2Ge2Ru, relaxed, DFT GGA-PBE; energy = -5.73 eV/atom; SG = P-3m1
1.0
3.9701 0.0000 0.0000
-1.9851 3.4382 0.0000
0.0000 0.0000 6.7542
Ce Be Ge Ru
1 2 2 1
Cartesian
0.0000 0.0000 0.0000
0.0000 2.2922 2.3442
1.9851 1.1461 4.4099
0.0000 2.2922 4.8428
1.9851 1.1461 1.9114
0.0000 0.0000 3.3771